Entry 1:
8
Lattice="3.4311 0.0000 0.0000 0.0000 4.9544 0.0000 -1.7155 0.0000 11.1930" Properties=species:S:1:pos:R:3 comment="HoCd2Hg | Alexandria | PBE-GGA | relaxed" magnetic_moment_mub_per_fu=0.0 polymorph_energy_mev_per_atom=31.2 sg="No. 63" formation_energy_ev_per_atom=-0.268 pbc="T T T"
Ho 0.0000 1.2386 8.9642
Ho 1.7155 3.7158 2.2288
Cd 1.7155 1.2386 6.0842
Cd 0.0000 3.7158 5.1088
Cd 0.0000 1.2386 0.6471
Cd 1.7155 3.7158 10.5459
Hg 0.0000 1.2386 3.4947
Hg 1.7155 3.7158 7.6983

Entry 2:
7
Lattice="-0.9810 4.7225 -2.1343 -3.4059 -2.2532 3.1400 3.0668 1.1120 7.4529" Properties=species:S:1:pos:R:3 comment="Ho3Cd2Hg2 | Alexandria | PBE-GGA | relaxed" magnetic_moment_mub_per_fu=0.0 sg="No. 2" formation_energy_ev_per_atom=-0.274 pbc="T T T"
Ho 0.0000 0.0000 0.0000
Ho 0.3113 2.5472 5.4070
Ho -1.6314 1.0341 3.0516
Cd -1.3412 2.8614 0.4420
Cd 0.0211 0.7199 8.0166
Hg -1.8845 -0.8324 5.5396
Hg 0.5644 4.4137 2.9190

Entry 3:
18
Lattice="-5.5322 3.4515 -1.1001 1.1657 -0.9927 -8.9770 -4.7853 -6.1781 4.6808" Properties=species:S:1:pos:R:3 comment="Ho5CdHg3 | Alexandria | PBE-GGA | relaxed" magnetic_moment_mub_per_fu=0.0 sg="No. 193" formation_energy_ev_per_atom=-0.354 pbc="T T T"
Ho -0.8183 -2.7218 -4.4244
Ho -5.5673 -2.7232 -0.4218
Ho -2.8012 -4.4489 0.1282
Ho -3.5844 -0.9960 -4.9744
Ho -6.6903 -2.4456 -3.8410
Ho -4.4092 -0.2447 -8.4072
Ho -3.8016 2.2927 -3.5015
Ho -2.4614 -1.2736 -1.5552
Ho -4.7426 -3.4745 3.0110
Ho -0.5649 0.1662 -6.5755
Cd 0.0000 0.0000 0.0000
Cd -2.7661 1.7258 -0.5500
Hg -5.4895 -0.0672 -2.4173
Hg -7.1620 -1.3015 2.1210
Hg -3.4152 1.9636 -6.4772
Hg -3.6622 -3.6520 -2.9789
Hg -1.9897 -2.4177 -7.5172
Hg -0.9513 0.4952 -3.5998

Entry 4:
4
Lattice="4.8648 0.0000 0.0000 0.0000 4.4348 0.0000 0.0000 0.0000 4.4348" Properties=species:S:1:pos:R:3 comment="HoCd2Hg | Alexandria | PBE-GGA | relaxed" magnetic_moment_mub_per_fu=0.0 polymorph_energy_mev_per_atom=16.6 sg="No. 123" formation_energy_ev_per_atom=-0.282 pbc="T T T"
Cd 0.0000 0.0000 2.2174
Cd 0.0000 2.2174 0.0000
Hg 2.4324 2.2174 2.2174
Ho 2.4324 0.0000 0.0000

Entry 5:
12
Lattice="-4.2221 3.1861 2.1150 -5.1035 -0.5338 -1.7125 -6.8966 -3.6924 10.2857" Properties=species:S:1:pos:R:3 comment="HoCd6Hg5 | Alexandria | PBE-GGA | relaxed" magnetic_moment_mub_per_fu=0.0 sg="No. 12" formation_energy_ev_per_atom=-0.067 pbc="T T T"
Hg -7.5511 -1.6687 4.3568
Hg -3.0908 0.8967 0.1506
Hg -5.5594 -0.2532 6.2004
Hg -6.2348 1.7556 0.2519
Hg -8.6712 0.6286 6.3315
Ho 0.0000 0.0000 0.0000
Cd -6.5249 1.2398 3.5454
Cd -10.8160 0.0185 9.1190
Cd -7.6779 -0.8129 8.9189
Cd -3.4408 0.3066 3.4818
Cd -5.4062 -1.0585 1.5693
Cd -9.6973 -2.2799 7.1429

Entry 6:
9
Lattice="-4.8816 0.2894 -1.0615 -2.6923 -4.2639 -0.5765 -2.0499 -0.3374 9.3365" Properties=species:S:1:pos:R:3 comment="Ho2Cd3Hg4 | Alexandria | PBE-GGA | relaxed" magnetic_moment_mub_per_fu=0.0 polymorph_energy_mev_per_atom=0.0 sg="No. 12" formation_energy_ev_per_atom=-0.284 pbc="T T T"
Ho -4.1351 -1.6330 6.7775
Ho -5.4887 -2.6789 0.9211
Cd -3.4177 -1.4430 3.5294
Cd 0.0000 0.0000 0.0000
Cd -6.2061 -2.8689 4.1692
Hg -6.8793 -2.9737 7.2371
Hg -3.3788 -4.3142 2.5669
Hg -6.2450 0.0023 5.1316
Hg -2.7445 -1.3382 0.4614

Entry 7:
11
Lattice="-1.1957 -1.2279 -2.9754 -4.1379 -1.4733 2.2679 -9.2083 12.3158 -3.3658" Properties=species:S:1:pos:R:3 comment="Ho3Cd4Hg4 | Alexandria | PBE-GGA | relaxed" magnetic_moment_mub_per_fu=0.0 sg="No. 2" formation_energy_ev_per_atom=-0.300 pbc="T T T"
Ho -9.4571 7.7678 -1.3908
Ho -5.0852 1.8473 -2.6826
Ho -9.2082 12.3154 -3.3657
Cd -8.6175 9.2104 -4.3046
Cd -5.7235 5.0393 -1.7641
Cd -8.8185 4.5752 -2.3092
Cd -5.9245 0.4040 0.2314
Hg -11.2670 9.6814 -3.4431
Hg -3.2753 -0.0664 -0.6303
Hg -7.1223 2.9038 -0.3235
Hg -7.4197 6.7106 -3.7498

Entry 8:
4
Lattice="3.6731 0.0000 0.0000 0.0000 3.6731 0.0000 0.0000 0.0000 7.1365" Properties=species:S:1:pos:R:3 comment="HoCdHg2 | Alexandria | PBE-GGA | relaxed" magnetic_moment_mub_per_fu=0.1 polymorph_energy_mev_per_atom=82.3 sg="No. 123" formation_energy_ev_per_atom=-0.266 pbc="T T T"
Cd 1.8366 1.8366 0.0000
Hg 0.0000 0.0000 5.3797
Hg 0.0000 0.0000 1.7569
Ho 1.8366 1.8366 3.5683

Entry 9:
19
Lattice="-6.7079 -0.7067 3.6326 -1.7702 -7.0489 -2.4228 2.5168 -3.8750 6.1107" Properties=species:S:1:pos:R:3 comment="Ho2Cd16Hg | Alexandria | PBE-GGA | relaxed" magnetic_moment_mub_per_fu=0.0 sg="No. 160" formation_energy_ev_per_atom=-0.090 pbc="T T T"
Ho -4.0441 -7.8903 4.9663
Ho -1.9766 -3.8564 2.4273
Cd -5.6539 -8.7313 1.9955
Cd -5.4983 -5.5804 7.1282
Cd -0.7914 -8.9906 5.5431
Cd -7.1531 -6.8056 3.8341
Cd -2.6974 -6.5424 7.8806
Cd -2.0930 -9.9543 2.9521
Cd -2.9796 -7.2398 1.8351
Cd -4.9388 -4.7233 4.2378
Cd -1.2786 -5.9805 5.2211
Cd -2.9765 -3.8864 6.1111
Cd -0.3384 -7.2750 2.8758
Cd -5.2670 -5.5822 1.5518
Cd -0.9522 -3.4180 -0.8254
Cd -3.0950 -0.6657 1.8024
Cd 0.9082 -2.0407 2.8778
Cd -0.4987 -0.9729 0.6124
Hg -5.3076 -10.3554 6.5179

Entry 10:
4
Lattice="3.7594 0.0000 0.0000 1.8797 3.2557 0.0000 1.8797 1.0852 8.5833" Properties=species:S:1:pos:R:3 comment="HoCdHg2 | Alexandria | PBE-GGA | relaxed" magnetic_moment_mub_per_fu=0.0 polymorph_energy_mev_per_atom=159.1 sg="No. 160" formation_energy_ev_per_atom=-0.189 pbc="T T T"
Ho 5.6391 3.2557 8.5818
Cd 3.7594 2.1705 4.2972
Hg 1.8797 1.0852 6.3961
Hg 1.8797 1.0852 2.1832

Entry 11:
30
Lattice="-3.1108 5.7303 7.6389 6.5826 3.2180 6.8688 2.5445 9.7091 0.3552" Properties=species:S:1:pos:R:3 comment="HoCd23Hg6 | Alexandria | PBE-GGA | relaxed" magnetic_moment_mub_per_fu=0.0 sg="No. 225" formation_energy_ev_per_atom=0.019 pbc="T T T"
Ho 3.0081 9.3287 7.4315
Cd -0.8487 5.2078 5.7159
Cd 6.8650 13.4496 9.1470
Cd 2.0345 7.2362 2.0024
Cd 0.7373 2.2863 1.8214
Cd 3.9818 11.4211 12.8605
Cd 5.2790 16.3710 13.0415
Cd 4.0932 3.9270 5.3232
Cd 1.9231 14.7304 9.5397
Cd 1.7359 4.4742 7.2539
Cd 1.2723 4.8545 0.1776
Cd -1.5554 2.8651 3.8195
Cd 4.5636 6.4635 3.6120
Cd -0.2831 7.7197 3.9971
Cd 3.2913 1.6090 3.4344
Cd 0.2038 9.9764 9.8155
Cd 5.8125 8.6809 5.0474
Cd 3.6404 12.3942 5.3893
Cd 2.0942 6.4943 5.1735
Cd 2.3759 6.2631 9.4736
Cd 3.9221 12.1631 9.6894
Cd 6.0942 8.4498 9.3475
Cd -0.0779 10.2076 5.5154
Cd 0.0000 0.0000 0.0000
Hg 3.2121 9.1614 10.5441
Hg 2.8042 9.4960 4.3189
Hg 0.3166 7.7459 7.5227
Hg 5.6997 10.9115 7.3402
Hg 1.4359 12.0165 7.6789
Hg 4.5804 6.6408 7.1840

Entry 12:
8
Lattice="4.9224 0.0000 1.4530 2.2467 4.3797 1.4530 -0.0099 -0.0060 9.0978" Properties=species:S:1:pos:R:3 comment="Ho3CdHg4 | Alexandria | PBE-GGA | relaxed" magnetic_moment_mub_per_fu=0.0 polymorph_energy_mev_per_atom=0.0 sg="No. 166" formation_energy_ev_per_atom=-0.429 pbc="T T T"
Hg 6.2284 3.8050 6.0931
Hg 2.6995 1.6491 8.9836
Hg 0.9309 0.5687 5.9108
Hg 4.4598 2.7246 3.0202
Ho 1.8396 1.1238 2.8325
Ho 5.3197 3.2499 9.1714
Ho 3.5796 2.1869 6.0019
Cd 0.0000 0.0000 0.0000

Entry 13:
4
Lattice="4.7472 0.0000 0.0000 0.0000 4.2813 0.0000 0.0000 0.0000 4.7479" Properties=species:S:1:pos:R:3 comment="HoCdInHg | Alexandria | PBE-GGA | relaxed" magnetic_moment_mub_per_fu=0.0 polymorph_energy_mev_per_atom=0.0 sg="No. 47" formation_energy_ev_per_atom=-0.335 pbc="T T T"
Ho 0.0000 2.1407 2.3740
Cd 2.3736 2.1407 0.0000
In 0.0000 0.0000 0.0000
Hg 2.3736 0.0000 2.3740

Entry 14:
18
Lattice="4.8087 0.0000 0.0000 -2.4043 6.5454 0.0000 0.0000 0.0000 13.9746" Properties=species:S:1:pos:R:3 comment="HoCd2InHg5 | Alexandria | PBE-GGA | relaxed" magnetic_moment_mub_per_fu=0.0 sg="No. 36" formation_energy_ev_per_atom=-0.121 pbc="T T T"
Ho 2.4043 1.1699 13.0102
Ho 0.0000 5.3756 6.0229
Cd 2.4043 5.4300 12.8842
Cd 0.0000 1.0852 10.6084
Cd 0.0000 1.1155 5.8969
Cd 2.4043 5.4603 3.6211
In 2.4043 3.0929 5.8736
In 0.0000 3.4526 12.8609
Hg 0.0000 5.4915 1.2375
Hg 2.4043 3.1612 10.5864
Hg 0.0000 5.6194 10.6132
Hg 0.0000 3.2871 8.3700
Hg 2.4043 5.4044 8.2041
Hg 2.4043 1.0539 8.2248
Hg 0.0000 3.3842 3.5991
Hg 2.4043 0.9261 3.6260
Hg 2.4043 3.2583 1.3827
Hg 0.0000 1.1410 1.2168

Entry 15:
8
Lattice="5.2652 0.0000 0.0000 2.6326 4.5598 0.0000 2.6326 1.5199 8.6043" Properties=species:S:1:pos:R:3 comment="Ho4Cd2InHg | Alexandria | PBE-GGA | relaxed" magnetic_moment_mub_per_fu=0.0 sg="No. 166" formation_energy_ev_per_atom=-0.399 pbc="T T T"
Ho 5.2652 3.0399 7.4915
Ho 7.8978 4.5598 3.2618
Ho 2.6326 1.5199 5.3426
Ho 5.2652 3.0399 1.1128
Cd 7.8978 4.5598 6.4901
Cd 2.6326 1.5199 2.1143
In 0.0000 0.0000 0.0000
Hg 5.2652 3.0399 4.3022

Entry 16:
8
Lattice="-0.0678 4.9116 -1.9275 1.4010 0.8880 -5.0092 -7.7454 0.8457 -4.7956" Properties=species:S:1:pos:R:3 comment="Ho4CdIn2Hg | Alexandria | PBE-GGA | relaxed" magnetic_moment_mub_per_fu=0.0 sg="No. 166" formation_energy_ev_per_atom=-0.431 pbc="T T T"
Ho -6.2437 2.9193 -6.7872
Ho -1.7698 5.3876 -7.8776
Ho -4.6423 1.2577 -3.8547
Ho -0.1684 3.7260 -4.9450
Cd 0.0000 0.0000 0.0000
In -4.8602 4.9772 -8.8147
In -1.5519 1.6681 -2.9176
Hg -3.2061 3.3226 -5.8661

Entry 17:
4
Lattice="5.1503 0.0000 0.0000 2.5751 4.4603 0.0000 2.5751 1.4868 4.2052" Properties=species:S:1:pos:R:3 comment="HoCdInHg | Alexandria | PBE-GGA | relaxed" magnetic_moment_mub_per_fu=0.0 polymorph_energy_mev_per_atom=41.2 sg="No. 216" formation_energy_ev_per_atom=-0.293 pbc="T T T"
Cd 7.7254 4.4603 3.1539
In 5.1503 2.9735 2.1026
Hg 0.0000 0.0000 0.0000
Ho 2.5751 1.4868 1.0513

Entry 18:
20
Lattice="-6.9160 -4.2948 0.8822 6.5188 -4.4744 2.1305 -0.4978 6.8258 6.3399" Properties=species:S:1:pos:R:3 comment="HoCdIn2Hg6 | Alexandria | PBE-GGA | relaxed" magnetic_moment_mub_per_fu=0.0 sg="No. 15" formation_energy_ev_per_atom=-0.113 pbc="T T T"
Ho 3.1784 -2.7250 3.4167
Ho -4.0734 0.7815 5.9360
Cd -6.7976 -2.5916 2.4898
Cd 5.9026 0.6481 6.8629
In 2.8398 -0.7643 6.2075
In 2.8100 2.1429 6.9464
In -3.7348 -1.1792 3.1452
In -3.7051 -4.0863 2.4063
Hg 0.9087 -0.5219 3.7407
Hg 0.9497 -4.8679 2.6747
Hg -1.8037 -1.4216 5.6120
Hg -1.8447 2.9245 6.6780
Hg -1.6305 -0.8814 1.0399
Hg -2.0331 -4.4346 4.8625
Hg 0.7354 -1.0621 8.3128
Hg 1.1381 2.4911 4.4902
Hg 1.1627 -2.1867 1.0692
Hg 0.7512 -3.2039 5.3514
Hg -2.0577 0.2432 8.2834
Hg -1.6462 1.2604 4.0013

Entry 19:
18
Lattice="12.8411 3.4328 2.4348 9.3265 9.4706 2.4348 9.3265 5.4288 8.1332" Properties=species:S:1:pos:R:3 comment="K2HoCd3Hg12 | Alexandria | PBE-GGA | relaxed" magnetic_moment_mub_per_fu=0.0 sg="No. 166" formation_energy_ev_per_atom=-0.071 pbc="T T T"
K 20.1212 11.7122 8.3074
K 11.3729 6.6200 4.6955
Ho 0.0000 0.0000 0.0000
Cd 6.4205 1.7164 1.2174
Cd 4.6633 4.7353 1.2174
Cd 4.6633 2.7144 4.0666
Hg 16.9053 9.8403 8.8616
Hg 23.3660 13.6009 7.5448
Hg 21.6407 14.5807 10.3420
Hg 18.4498 8.9631 6.3574
Hg 23.3660 11.6169 10.3420
Hg 16.9053 11.6165 6.3574
Hg 14.5889 8.4919 4.1412
Hg 8.1282 4.7313 5.4581
Hg 9.8534 3.7515 2.6609
Hg 13.0444 9.3691 6.6454
Hg 8.1282 6.7153 2.6609
Hg 14.5889 6.7157 6.6454

Entry 20:
8
Lattice="-1.2440 -4.7948 1.2475 3.2542 -3.8170 -0.9671 4.5338 -1.6964 8.4596" Properties=species:S:1:pos:R:3 comment="LaHo2CdHg4 | Alexandria | PBE-GGA | relaxed" magnetic_moment_mub_per_fu=0.0 sg="No. 166" formation_energy_ev_per_atom=-0.406 pbc="T T T"
La 0.0000 0.0000 0.0000
Ho 4.7643 -7.7748 6.2440
Ho 1.7796 -2.5334 2.4959
Cd 3.2720 -5.1541 4.3700
Hg 4.6186 -4.7449 7.2857
Hg 3.4499 -8.1743 3.3979
Hg 3.0940 -2.1340 5.3420
Hg 1.9254 -5.5634 1.4542

Entry 21:
8
Lattice="5.1637 0.0000 0.0000 2.5818 4.4719 0.0000 2.5818 1.4906 8.4877" Properties=species:S:1:pos:R:3 comment="LaHoCd2Hg4 | Alexandria | PBE-GGA | relaxed" magnetic_moment_mub_per_fu=0.0 sg="No. 166" formation_energy_ev_per_atom=-0.406 pbc="T T T"
La 0.0000 0.0000 0.0000
Ho 5.1637 2.9813 4.2439
Cd 7.7455 4.4719 6.3791
Cd 2.5818 1.4906 2.1087
Hg 5.1637 2.9813 7.3108
Hg 7.7455 4.4719 3.2834
Hg 2.5818 1.4906 5.2043
Hg 5.1637 2.9813 1.1769

Entry 22:
4
Lattice="5.0112 0.0000 0.0000 2.5056 4.3398 0.0000 2.5056 1.4466 4.0916" Properties=species:S:1:pos:R:3 comment="LiHoCdHg | Alexandria | PBE-GGA | relaxed" magnetic_moment_mub_per_fu=0.0 sg="No. 216" formation_energy_ev_per_atom=-0.350 pbc="T T T"
Cd 7.5168 4.3398 3.0687
Li 0.0000 0.0000 0.0000
Hg 2.5056 1.4466 1.0229
Ho 5.0112 2.8932 2.0458